A plane-wave DFT calculation with PBE-GGA was carried out for a relaxed structure of AsRuPt2.

Values from the calculation:
D(E_F) in states/eV/cell: 3.27
Spin magnetization in μB per atom: 0.000
Calculated volume in Å³/atom: 15.60
Calculated total energy in eV per cell: -25.8

Unit cell a=4.8188 b=4.8188 c=4.8719 alpha=70.55 beta=70.55 gamma=36.06
Closest atoms and distances in Å follow each position.
Fractional positions:
Ru  0.5266  0.5266  0.4402  3 As 2.49-2.71
As  0.2586  0.2586  0.3220  3 Ru 2.49-2.71, 4 Pt 2.56
Pt  0.9732  0.9732  0.9799  2 As 2.56, 3 Pt 2.70-2.75
Pt  0.7417  0.7417  0.7579  2 As 2.56, 3 Pt 2.70-2.75